1.
An optimized crystal structure of Er3AgO6. Source: Alexandria, functional PBE.

The structure belongs to space group Cmc2_1 (No. 36); the cell edges are 8.851, 11.066 and 5.563 Å and the angles 90.00°, 90.00° and 90.00°. The distinct sites, in fractional coordinates, are Er at (0.000, 0.101, 0.000), Er at (0.205, 0.385, 0.946), Ag at (0.000, 0.354, 0.440), O at (0.000, 0.280, 0.783), O at (0.000, 0.477, 0.144), O at (0.158, 0.238, 0.219) and O at (0.160, 0.017, 0.723).

The calculation puts the formation energy from raw total energies at -2.643 eV/atom. As for the raw total energy: -72.720 eV/f.u. The calculation puts the volume at 136.2 Å³/f.u.

2.
An optimized crystal structure of Np2UAs2N2. Source: Alexandria, functional PBE.

The structure belongs to space group C2/m (No. 12); the cell edges are 11.776, 3.853 and 6.935 Å and the angles 90.00°, 121.41° and 90.00°. The distinct sites, in fractional coordinates, are Np at (0.185, 0.000, 0.237), U at (0.000, 0.000, 0.500), As at (0.068, 0.500, 0.845) and N at (0.198, 0.000, 0.586).

The calculation puts the formation energy from raw total energies at -1.024 eV/atom. As for the raw total energy: -70.288 eV/f.u. The calculation puts the volume at 134.3 Å³/f.u.

3.
An optimized crystal structure of Ba2TbAg2S4. Source: Alexandria, functional PBE.

The structure belongs to space group C2/m (No. 12); the cell edges are 15.841, 4.013 and 7.806 Å and the angles 90.00°, 114.54° and 90.00°. The distinct sites, in fractional coordinates, are Ba at (0.136, 0.000, 0.080), Tb at (0.000, 0.000, 0.500), Ag at (0.185, 0.500, 0.509), S at (0.016, 0.500, 0.256) and S at (0.189, 0.000, 0.739).

The calculation puts the formation energy from raw total energies at -1.346 eV/atom. As for the raw total energy: -42.804 eV/f.u. The calculation puts the volume at 225.7 Å³/f.u.

4.
An optimized crystal structure of La2LuSc. Source: Alexandria, functional PBE.

The structure belongs to space group P4/mmm (No. 123); the cell edges are 3.702, 3.702 and 9.278 Å and the angles 90.00°, 90.00° and 90.00°. The distinct sites, in fractional coordinates, are La at (0.000, 0.000, 0.241), Lu at (0.500, 0.500, 0.500) and Sc at (0.500, 0.500, 0.000).

The calculated formation energy comes out at 0.04 eV per atom. As for the raw total energy: -20.535 eV/f.u. The calculation puts the volume at 127.2 Å³/f.u.